{"formula": "YAlBr2", "functional": "PBE-GGA", "state": "optimized geometry", "e_tot_ev_per_cell": -16.77, "n_ef_per_ev_cell": 1.470, "formation_energy_uncorrected_mev_per_atom": -805, "sg": "Immm (71)", "lattice": [[-1.043, 7.389, -3.416], [-5.857, 5.732, 0.444], [5.704, -5.003, 3.129]], "species": ["Br", "Br", "Y", "Al"], "frac_coords": [[0.603, 0.603, 0.000], [0.897, 0.897, 0.000], [0.750, 0.250, 0.500], [0.250, 0.750, 0.500]]}

{"formula": "YAl2Br", "functional": "PBE-GGA", "state": "optimized geometry", "e_tot_ev_per_cell": -17.05, "n_ef_per_ev_cell": 4.708, "formation_energy_uncorrected_mev_per_atom": -357, "sg": "R3m (160)", "lattice": [[9.083, -0.097, -0.057], [8.342, 3.595, -0.057], [8.342, 1.675, 3.182]], "species": ["Al", "Al", "Y", "Br"], "frac_coords": [[0.272, 0.272, 0.272], [0.998, 0.998, 0.998], [0.745, 0.745, 0.745], [0.485, 0.485, 0.485]]}

{"formula": "YAlBr2", "functional": "PBE-GGA", "state": "optimized geometry", "e_tot_ev_per_cell": -16.68, "n_ef_per_ev_cell": 0.352, "formation_energy_uncorrected_mev_per_atom": -783, "sg": "Cm (8)", "lattice": [[-1.872, 5.033, -1.406], [-3.919, 2.520, -3.017], [-5.161, 1.398, 4.375]], "species": ["Br", "Br", "Y", "Al"], "frac_coords": [[0.987, 0.987, 0.018], [0.175, 0.175, 0.415], [0.470, 0.470, 0.355], [0.867, 0.867, 0.713]]}

{"formula": "Y2AlBr", "functional": "PBE-GGA", "state": "optimized geometry", "e_tot_ev_per_cell": -20.04, "n_ef_per_ev_cell": 2.185, "formation_energy_uncorrected_mev_per_atom": -424, "sg": "P4mm (99)", "lattice": [[3.513, 0.000, 0.000], [0.000, 3.513, 0.000], [0.000, 0.000, 10.107]], "species": ["Y", "Y", "Al", "Br"], "frac_coords": [[0.500, 0.500, 0.260], [0.000, 0.000, 0.991], [0.000, 0.000, 0.433], [0.500, 0.500, 0.816]]}

{"formula": "YAlBr2", "functional": "PBE-GGA", "state": "optimized geometry", "e_tot_ev_per_cell": -16.38, "n_ef_per_ev_cell": 1.563, "formation_energy_uncorrected_mev_per_atom": -707, "sg": "P4/mmm (123)", "lattice": [[-2.822, -1.305, -1.509], [0.170, -2.762, 2.070], [-5.802, 4.720, 6.774]], "species": ["Br", "Br", "Al", "Y"], "frac_coords": [[0.000, 0.000, 0.078], [0.000, 0.000, 0.422], [0.500, 0.500, 0.750], [0.500, 0.500, 0.250]]}

{"formula": "YAlBr2", "functional": "PBE-GGA", "state": "optimized geometry", "e_tot_ev_per_cell": -16.12, "n_ef_per_ev_cell": 1.748, "formation_energy_uncorrected_mev_per_atom": -642, "sg": "C2/m (12)", "lattice": [[-3.700, 2.878, -3.696], [2.828, -4.265, -3.073], [-2.516, -2.414, -1.321]], "species": ["Br", "Br", "Al", "Y"], "frac_coords": [[0.500, 0.500, 0.000], [0.000, 0.000, 0.000], [0.000, 0.500, 0.500], [0.500, 0.000, 0.500]]}

{"formula": "YAl2Br", "functional": "PBE-GGA", "state": "optimized geometry", "e_tot_ev_per_cell": -16.76, "n_ef_per_ev_cell": 2.894, "formation_energy_uncorrected_mev_per_atom": -286, "sg": "I4/mmm (139)", "lattice": [[6.095, 0.008, 0.000], [3.361, 5.085, 0.000], [-4.728, -2.547, 2.883]], "species": ["Y", "Al", "Al", "Br"], "frac_coords": [[0.750, 0.250, 0.500], [0.500, 0.500, 0.000], [0.000, 0.000, 0.000], [0.250, 0.750, 0.500]]}

{"formula": "YAlBr2", "functional": "PBE-GGA", "state": "optimized geometry", "e_tot_ev_per_cell": -16.50, "n_ef_per_ev_cell": 3.574, "formation_energy_uncorrected_mev_per_atom": -737, "sg": "R-3m (166)", "lattice": [[-5.010, -3.601, 8.444], [-2.571, -6.281, 7.956], [-1.630, -3.266, 9.800]], "species": ["Y", "Al", "Br", "Br"], "frac_coords": [[0.250, 0.250, 0.250], [0.750, 0.750, 0.750], [0.981, 0.981, 0.981], [0.519, 0.519, 0.519]]}

{"formula": "YAlBr2", "functional": "PBE-GGA", "state": "optimized geometry", "e_tot_ev_per_cell": -16.28, "n_ef_per_ev_cell": 1.052, "formation_energy_uncorrected_mev_per_atom": -683, "sg": "Imm2 (44)", "lattice": [[-5.006, 0.622, -5.743], [-0.301, -3.324, -6.877], [0.251, -0.136, 7.639]], "species": ["Br", "Br", "Al", "Y"], "frac_coords": [[0.676, 0.176, 0.500], [0.969, 0.969, 0.000], [0.341, 0.841, 0.500], [0.514, 0.514, 0.000]]}

{"formula": "YAl4Br", "functional": "PBE-GGA", "state": "optimized geometry", "e_tot_ev_per_cell": -24.24, "n_ef_per_ev_cell": 3.424, "formation_energy_uncorrected_mev_per_atom": -189, "sg": "F-43m (216)", "lattice": [[0.000, 3.966, 3.966], [3.966, 0.000, 3.966], [3.966, 3.966, 0.000]], "species": ["Br", "Y", "Al", "Al", "Al", "Al"], "frac_coords": [[0.750, 0.750, 0.750], [0.000, 0.000, 0.000], [0.879, 0.374, 0.374], [0.374, 0.374, 0.374], [0.374, 0.879, 0.374], [0.374, 0.374, 0.879]]}

{"formula": "YAlBr6", "functional": "PBE-GGA", "state": "optimized geometry", "e_tot_ev_per_cell": -31.33, "n_ef_per_ev_cell": 0.000, "formation_energy_uncorrected_mev_per_atom": -1386, "sg": "C2/m (12)", "lattice": [[6.633, 0.190, 0.000], [1.810, 6.388, 0.000], [0.905, 3.194, 6.753]], "species": ["Br", "Br", "Br", "Br", "Br", "Br", "Y", "Al"], "frac_coords": [[0.723, 0.143, 0.269], [0.277, 0.589, 0.269], [0.723, 0.411, 0.731], [0.259, 0.260, 0.000], [0.741, 0.740, 0.000], [0.277, 0.857, 0.731], [0.000, 0.000, 0.000], [0.500, 0.500, 0.000]]}

{"formula": "YAl2Br", "functional": "PBE-GGA", "state": "optimized geometry", "e_tot_ev_per_cell": -16.66, "n_ef_per_ev_cell": 2.918, "formation_energy_uncorrected_mev_per_atom": -259, "sg": "P4/mmm (123)", "lattice": [[5.899, 0.000, 0.000], [0.000, 3.973, 0.000], [0.000, 0.000, 3.973]], "species": ["Al", "Al", "Br", "Y"], "frac_coords": [[0.000, 0.500, 0.500], [0.000, 0.000, 0.000], [0.500, 0.500, 0.000], [0.500, 0.000, 0.500]]}

{"formula": "YAlBr2", "functional": "PBE-GGA", "state": "optimized geometry", "e_tot_ev_per_cell": -16.69, "n_ef_per_ev_cell": 0.736, "formation_energy_uncorrected_mev_per_atom": -785, "sg": "Amm2 (38)", "lattice": [[-2.628, 1.178, -4.612], [1.429, -3.156, -1.620], [-3.420, -4.303, 0.849]], "species": ["Br", "Br", "Al", "Y"], "frac_coords": [[0.000, 0.025, 0.075], [0.500, 0.427, 0.270], [0.500, 0.739, 0.647], [0.000, 0.309, 0.507]]}

{"formula": "YAl2Br", "functional": "PBE-GGA", "state": "optimized geometry", "e_tot_ev_per_cell": -16.83, "n_ef_per_ev_cell": 1.695, "formation_energy_uncorrected_mev_per_atom": -303, "sg": "C2/m (12)", "lattice": [[6.202, 0.030, -0.092], [5.257, 3.291, -0.092], [0.581, 0.168, 4.612]], "species": ["Br", "Y", "Al", "Al"], "frac_coords": [[0.250, 0.250, 0.250], [0.750, 0.750, 0.750], [0.487, 0.487, 0.520], [0.013, 0.013, 0.980]]}

{"formula": "YAlBr2", "functional": "PBE-GGA", "state": "optimized geometry", "e_tot_ev_per_cell": -15.50, "n_ef_per_ev_cell": 2.443, "formation_energy_uncorrected_mev_per_atom": -486, "sg": "Fm-3m (225)", "lattice": [[0.000, 3.674, 3.674], [3.674, 0.000, 3.674], [3.674, 3.674, 0.000]], "species": ["Br", "Br", "Y", "Al"], "frac_coords": [[0.750, 0.750, 0.750], [0.250, 0.250, 0.250], [0.500, 0.500, 0.500], [0.000, 0.000, 0.000]]}

{"formula": "Y2AlBr", "functional": "PBE-GGA", "state": "optimized geometry", "e_tot_ev_per_cell": -20.22, "n_ef_per_ev_cell": 0.304, "formation_energy_uncorrected_mev_per_atom": -468, "sg": "Fm-3m (225)", "lattice": [[-3.975, -2.652, -2.193], [-4.124, 2.599, -1.971], [-0.740, 0.199, -5.202]], "species": ["Al", "Br", "Y", "Y"], "frac_coords": [[0.000, 0.000, 0.000], [0.500, 0.500, 0.500], [0.750, 0.750, 0.750], [0.250, 0.250, 0.250]]}

{"formula": "YAl2Br", "functional": "PBE-GGA", "state": "optimized geometry", "e_tot_ev_per_cell": -16.73, "n_ef_per_ev_cell": 2.439, "formation_energy_uncorrected_mev_per_atom": -276, "sg": "Cm (8)", "lattice": [[5.322, -0.014, 0.054], [4.221, 3.241, 0.054], [1.721, 0.582, 5.446]], "species": ["Br", "Al", "Al", "Y"], "frac_coords": [[0.488, 0.488, 0.551], [0.999, 0.999, 0.067], [0.271, 0.271, 0.190], [0.742, 0.742, 0.693]]}

{"formula": "Y2AlBr", "functional": "PBE-GGA", "state": "optimized geometry", "e_tot_ev_per_cell": -21.23, "n_ef_per_ev_cell": 1.586, "formation_energy_uncorrected_mev_per_atom": -722, "sg": "Pmmm (47)", "lattice": [[3.538, 0.000, 0.000], [0.000, 3.588, -0.011], [0.000, 0.028, 8.487]], "species": ["Y", "Y", "Al", "Br"], "frac_coords": [[0.000, 0.750, 0.035], [0.000, 0.750, 0.465], [0.500, 0.250, 0.250], [0.500, 0.750, 0.750]]}

{"formula": "Y2AlBr", "functional": "PBE-GGA", "state": "optimized geometry", "e_tot_ev_per_cell": -20.93, "n_ef_per_ev_cell": 2.220, "formation_energy_uncorrected_mev_per_atom": -647, "sg": "C2/m (12)", "lattice": [[-1.506, 2.410, -3.190], [-3.836, 1.871, -0.188], [1.268, 7.240, 2.284]], "species": ["Y", "Y", "Br", "Al"], "frac_coords": [[0.501, 0.501, 0.523], [0.999, 0.999, 0.977], [0.250, 0.250, 0.250], [0.750, 0.750, 0.750]]}

{"formula": "YAlBr2", "functional": "PBE-GGA", "state": "optimized geometry", "e_tot_ev_per_cell": -15.47, "n_ef_per_ev_cell": 3.422, "formation_energy_uncorrected_mev_per_atom": -480, "sg": "P4/mmm (123)", "lattice": [[-1.088, 3.657, 2.542], [-4.408, -1.593, 0.405], [1.207, -2.348, 3.895]], "species": ["Br", "Br", "Y", "Al"], "frac_coords": [[0.000, 0.000, 0.000], [0.000, 0.500, 0.500], [0.500, 0.500, 0.000], [0.500, 0.000, 0.500]]}